This record from the Alexandria database describes Mo2RuF2 after structural relaxation. The functional is PBE+U.

## Properties
- volume (Å³ per cell) = 66.42
- crystal system = tetragonal
- DFT total energy (eV per formula unit) = -28.82

Lattice parameters (Å, degrees): 3.405 3.405 6.215 74.10 74.10 90.00
Fractional positions:
Mo  0.610  0.610  0.780
Mo  0.390  0.390  0.220
Ru  0.000  0.000  0.000
F  0.250  0.750  0.500
F  0.750  0.250  0.500